The following is a DFT calculation (PBE-GGA) of a geometry-optimized YZnTc2 structure.

Computed properties:
Calculated volume, Å³/cell: 68.0
VASP energy, eV per cell: -26.923
Total moment, μB/atom: 0.000

Cell lengths 2.840, 2.840, 8.831 Å; angles 90.00, 90.00, 107.24 degrees
Positions (direct):
Y  0.000  0.000  0.000
Zn  0.000  0.000  0.500
Tc  0.500  0.500  0.272
Tc  0.500  0.500  0.728